# PBE-GGA YHfCuOs, optimized geometry
data_YHfCuOs
_cell_length_a 6.6889
_cell_length_b 6.6889
_cell_length_c 6.6889
_cell_angle_alpha 90.00
_cell_angle_beta 90.00
_cell_angle_gamma 90.00
_symmetry_space_group_name_H-M 'F -4 3 m'
_symmetry_Int_Tables_number 216
_symmetry_space_group_name_Hall 'F -4 2 3'
loop_
_atom_site_label
_atom_site_fract_x
_atom_site_fract_y
_atom_site_fract_z
Y1 0.0000 0.0000 0.0000
Hf1 0.0000 0.0000 0.5000
Cu1 0.2500 0.2500 0.7500
Os1 0.2500 0.2500 0.2500
# Energy of formation = -268 meV per atom
# Total moment = 0.000 μB per formula unit
# Energy = -8.204 eV/atom

# PBE-GGA ZrTlIr4, optimized geometry
data_ZrTlIr4
_cell_length_a 7.4791
_cell_length_b 7.4791
_cell_length_c 7.4791
_cell_angle_alpha 90.00
_cell_angle_beta 90.00
_cell_angle_gamma 90.00
_symmetry_space_group_name_H-M 'F -4 3 m'
_symmetry_Int_Tables_number 216
_symmetry_space_group_name_Hall 'F -4 2 3'
loop_
_atom_site_label
_atom_site_fract_x
_atom_site_fract_y
_atom_site_fract_z
Zr1 0.0000 0.0000 0.0000
Tl1 0.2500 0.2500 0.2500
Ir1 0.1247 0.1247 0.6247
# Energy of formation = -160 meV per atom
# Total moment = 0.000 μB per formula unit
# Energy = -7.886 eV/atom

# PBE-GGA PrHo2Co, optimized geometry
data_PrHo2Co
_cell_length_a 3.6445
_cell_length_b 3.6445
_cell_length_c 30.9482
_cell_angle_alpha 90.00
_cell_angle_beta 90.00
_cell_angle_gamma 120.00
_symmetry_space_group_name_H-M 'R -3 m'
_symmetry_Int_Tables_number 166
_symmetry_space_group_name_Hall '-R 3 2"'
loop_
_atom_site_label
_atom_site_fract_x
_atom_site_fract_y
_atom_site_fract_z
Pr1 0.0000 0.0000 0.0000
Ho1 0.0000 0.0000 0.1163
Co1 0.0000 0.0000 0.5000
# Energy of formation = 107 meV per atom
# ΔE to the lowest computed polymorph = 22.9 kJ per mole of atoms
# Total moment = 0.001 μB per formula unit
# Energy = -5.153 eV/atom

# PBE-GGA AlZn2Hg, optimized geometry
data_AlZn2Hg
_cell_length_a 3.0242
_cell_length_b 4.0366
_cell_length_c 5.8485
_cell_angle_alpha 90.00
_cell_angle_beta 90.00
_cell_angle_gamma 90.00
_symmetry_space_group_name_H-M 'P m m 2'
_symmetry_Int_Tables_number 25
loop_
_symmetry_equiv_pos_as_xyz
'x,y,z'
'-x,-y,z'
'-x,y,z'
'x,-y,z'
loop_
_atom_site_label
_atom_site_fract_x
_atom_site_fract_y
_atom_site_fract_z
Al1 0.0000 0.0000 0.0000
Zn1 0.0000 0.0000 0.5403
Zn2 0.5000 0.5000 0.7640
Hg1 0.5000 0.5000 0.2719
# Energy of formation = 121 meV per atom
# ΔE to the lowest computed polymorph = 1.2 kJ per mole of atoms
# Total moment = 0.000 μB per formula unit
# Energy = -1.527 eV/atom

# PBE-GGA K4Ce3NpSe8, optimized geometry
data_K4Ce3NpSe8
_cell_length_a 7.4030
_cell_length_b 7.4030
_cell_length_c 7.9497
_cell_angle_alpha 90.00
_cell_angle_beta 90.00
_cell_angle_gamma 90.00
_symmetry_space_group_name_H-M 'P 4/m m m'
_symmetry_Int_Tables_number 123
_symmetry_space_group_name_Hall '-P 4 2'
loop_
_atom_site_label
_atom_site_fract_x
_atom_site_fract_y
_atom_site_fract_z
K1 0.0000 0.0000 0.0000
K2 0.0000 0.5000 0.0000
K3 0.5000 0.5000 0.0000
Ce1 0.0000 0.0000 0.5000
Ce2 0.0000 0.5000 0.5000
Np1 0.5000 0.5000 0.5000
Se1 0.2518 0.2518 0.2893
# Total moment = 3.390 μB per formula unit
# Energy = -5.342 eV/atom
# E_form (uncorrected) = -1404 meV per atom

# PBE-GGA MnNbTc2, optimized geometry
data_MnNbTc2
_cell_length_a 7.0030
_cell_length_b 7.0030
_cell_length_c 5.1127
_cell_angle_alpha 90.00
_cell_angle_beta 90.00
_cell_angle_gamma 90.00
_symmetry_space_group_name_H-M 'I -4 2 d'
_symmetry_Int_Tables_number 122
_symmetry_space_group_name_Hall 'I -4 2bw'
loop_
_atom_site_label
_atom_site_fract_x
_atom_site_fract_y
_atom_site_fract_z
Mn1 0.0000 0.0000 0.0000
Nb1 0.0000 0.0000 0.5000
Tc1 0.2045 0.7500 0.1250
# Energy of formation = 548 meV per atom
# Total moment = 0.001 μB per formula unit
# Energy = -9.445 eV/atom

# PBE-GGA LaCeNd2, optimized geometry
data_LaCeNd2
_cell_length_a 5.1489
_cell_length_b 5.1489
_cell_length_c 5.1539
_cell_angle_alpha 90.00
_cell_angle_beta 90.00
_cell_angle_gamma 90.00
_symmetry_space_group_name_H-M 'P 4/m m m'
_symmetry_Int_Tables_number 123
_symmetry_space_group_name_Hall '-P 4 2'
loop_
_atom_site_label
_atom_site_fract_x
_atom_site_fract_y
_atom_site_fract_z
La1 0.0000 0.0000 0.0000
Ce1 0.5000 0.5000 0.0000
Nd1 0.0000 0.5000 0.5000
# Energy of formation = 81 meV per atom
# ΔE to the lowest computed polymorph = 1.9 kJ per mole of atoms
# Total moment = 0.871 μB per formula unit
# Energy = -5.018 eV/atom

# PBE-GGA GdDyInAg, optimized geometry
data_GdDyInAg
_cell_length_a 7.4530
_cell_length_b 7.4530
_cell_length_c 7.4530
_cell_angle_alpha 90.00
_cell_angle_beta 90.00
_cell_angle_gamma 90.00
_symmetry_space_group_name_H-M 'F -4 3 m'
_symmetry_Int_Tables_number 216
_symmetry_space_group_name_Hall 'F -4 2 3'
loop_
_atom_site_label
_atom_site_fract_x
_atom_site_fract_y
_atom_site_fract_z
Gd1 0.0000 0.0000 0.0000
Dy1 0.0000 0.0000 0.5000
In1 0.2500 0.2500 0.2500
Ag1 0.2500 0.2500 0.7500
# Energy of formation = -399 meV per atom
# Total moment = 7.594 μB per formula unit
# Energy = -6.468 eV/atom

# PBE-GGA CaCoC, optimized geometry
data_CaCoC
_cell_length_a 3.6203
_cell_length_b 5.0004
_cell_length_c 5.6896
_cell_angle_alpha 109.92
_cell_angle_beta 99.89
_cell_angle_gamma 90.01
_symmetry_space_group_name_H-M 'P -1'
_symmetry_Int_Tables_number 2
loop_
_symmetry_equiv_pos_as_xyz
'x,y,z'
'-x,-y,-z'
loop_
_atom_site_label
_atom_site_fract_x
_atom_site_fract_y
_atom_site_fract_z
Ca1 0.2143 0.3244 0.1874
Co1 0.2888 0.0988 0.6402
C1 0.1926 0.8585 0.2924
# Energy of formation = -72 meV per atom
# ΔE to the lowest computed polymorph = 5.4 kJ per mole of atoms
# Total moment = 0.001 μB per formula unit
# Energy = -6.182 eV/atom

# PBE-GGA CuAg2Cl, optimized geometry
data_CuAg2Cl
_cell_length_a 3.2929
_cell_length_b 3.2929
_cell_length_c 6.5689
_cell_angle_alpha 90.00
_cell_angle_beta 90.00
_cell_angle_gamma 90.00
_symmetry_space_group_name_H-M 'P 4/m m m'
_symmetry_Int_Tables_number 123
_symmetry_space_group_name_Hall '-P 4 2'
loop_
_atom_site_label
_atom_site_fract_x
_atom_site_fract_y
_atom_site_fract_z
Cu1 0.0000 0.0000 0.0000
Ag1 0.5000 0.5000 0.2146
Cl1 0.0000 0.0000 0.5000
# ΔE to the lowest computed polymorph = 6.3 kJ per mole of atoms
# Total moment = 0.000 μB per formula unit
# Energy = -2.910 eV/atom
# E_form (uncorrected) = 1 meV per atom

# PBE-GGA LaAgPt2, optimized geometry
data_LaAgPt2
_cell_length_a 4.1947
_cell_length_b 4.1947
_cell_length_c 9.1055
_cell_angle_alpha 90.00
_cell_angle_beta 90.00
_cell_angle_gamma 90.00
_symmetry_space_group_name_H-M 'I -4 m 2'
_symmetry_Int_Tables_number 119
_symmetry_space_group_name_Hall 'I -4 -2'
loop_
_atom_site_label
_atom_site_fract_x
_atom_site_fract_y
_atom_site_fract_z
La1 0.0000 0.0000 0.0000
Ag1 0.0000 0.5000 0.7500
Pt1 0.0000 0.0000 0.5000
Pt2 0.0000 0.5000 0.2500
# Energy of formation = -660 meV per atom
# Total moment = 0.000 μB per formula unit
# Energy = -5.625 eV/atom

# PBE-GGA CuNi2Mo, optimized geometry
data_CuNi2Mo
_cell_length_a 2.6359
_cell_length_b 2.6359
_cell_length_c 7.1234
_cell_angle_alpha 90.00
_cell_angle_beta 90.00
_cell_angle_gamma 90.00
_symmetry_space_group_name_H-M 'P 4/m m m'
_symmetry_Int_Tables_number 123
_symmetry_space_group_name_Hall '-P 4 2'
loop_
_atom_site_label
_atom_site_fract_x
_atom_site_fract_y
_atom_site_fract_z
Cu1 0.0000 0.0000 0.0000
Ni1 0.5000 0.5000 0.2396
Mo1 0.0000 0.0000 0.5000
# Energy of formation = -7 meV per atom
# ΔE to the lowest computed polymorph = 0.0 kJ per mole of atoms
# Total moment = 0.000 μB per formula unit
# Energy = -6.629 eV/atom